Record 1
Computed, not measured: an optimized crystal structure of MnSN3 at the PBE-GGA level of DFT.

## Properties
For the total energy, the calculation gives -5.798 eV/atom. As for the space group: No. 221. The formation energy without anion corrections comes out at 1.856 eV/atom.

a = 3.4371 Å, b = 3.4371 Å, c = 3.4371 Å
α = 90.00°, β = 90.00°, γ = 90.00°
With the nearest neighbours (Å) after each atom.
Fractional positions:
S1 0.0000 0.0000 0.0000  6 N 1.72
N1 0.5000 0.0000 0.0000  2 S 1.72
N2 0.0000 0.5000 0.0000  2 S 1.72
Mn1 0.5000 0.5000 0.5000  12 N 2.43
N3 0.0000 0.0000 0.5000  2 S 1.72

Record 2
Computed, not measured: an optimized crystal structure of Zr2PaSb at the PBE-GGA level of DFT.

## Properties
For the total energy, the calculation gives -7.865 eV/atom. As for the space group: No. 225. The value obtained for the energy relative to the lowest polymorph listed for this composition is 0.164 eV/atom. The formation energy without anion corrections comes out at -0.186 eV/atom.

a = 5.0464 Å, b = 5.0464 Å, c = 5.0466 Å
α = 60.00°, β = 60.00°, γ = 60.00°
With the nearest neighbours (Å) after each atom.
Fractional positions:
Zr1 0.2500 0.2500 0.2501  4 Sb 3.09, 4 Pa 3.09
Zr2 0.7500 0.7500 0.7499  4 Sb 3.09, 4 Pa 3.09
Sb1 0.0000 0.0000 0.0000  8 Zr 3.09
Pa1 0.5000 0.5000 0.5000  8 Zr 3.09

Record 3
Computed, not measured: an optimized crystal structure of TmNpSi2 at the PBE-GGA level of DFT.

## Properties
For the total energy, the calculation gives -7.199 eV/atom. As for the space group: No. 166. The formation energy without anion corrections comes out at -0.135 eV/atom.

a = 3.9498 Å, b = 3.9498 Å, c = 7.2620 Å
α = 74.22°, β = 74.22°, γ = 60.00°
With the nearest neighbours (Å) after each atom.
Fractional positions:
Tm1 0.5000 0.5000 0.5000  6 Si 2.88
Np1 0.0000 0.0000 0.0000  6 Si 2.84
Si1 0.2515 0.2515 0.2454  3 Np 2.84, 3 Tm 2.88
Si2 0.7485 0.7485 0.7546  3 Np 2.84, 3 Tm 2.88

Record 4
Computed, not measured: an optimized crystal structure of Ca2Be3CuSi4 at the PBE-GGA level of DFT.

## Properties
For the total energy, the calculation gives -4.365 eV/atom. As for the space group: No. 115. The formation energy without anion corrections comes out at -0.268 eV/atom.

a = 3.9142 Å, b = 3.9142 Å, c = 9.9335 Å
α = 90.00°, β = 90.00°, γ = 90.00°
With the nearest neighbours (Å) after each atom.
Fractional positions:
Be1 0.0000 0.5000 0.1344  5 Si 2.29-2.37
Be2 0.5000 0.0000 0.8656  5 Si 2.29-2.37
Si1 0.5000 0.0000 0.6354  3 Be 2.29-2.37, 2 Cu 2.37
Si2 0.0000 0.5000 0.3646  3 Be 2.29-2.37, 2 Cu 2.37
Si3 0.5000 0.5000 0.0000  4 Be 2.37
Be3 0.0000 0.0000 0.5000  4 Si 2.37
Si4 0.0000 0.0000 0.0000  4 Be 2.37
Cu1 0.5000 0.5000 0.5000  4 Si 2.37
Ca1 0.5000 0.0000 0.2516  8 Si 2.99-3.17, 6 Be 3.00-3.15, 2 Cu 3.15
Ca2 0.0000 0.5000 0.7484  8 Si 2.99-3.17, 6 Be 3.00-3.15, 2 Cu 3.15

Record 5
Computed, not measured: an optimized crystal structure of La4SmAl2 at the PBE-GGA level of DFT.

## Properties
For the total energy, the calculation gives -4.412 eV/atom. As for the space group: No. 139. The value obtained for the energy relative to the lowest polymorph listed for this composition is 0.312 eV/atom. The value obtained for the energy relative to the elements is 0.15 eV/atom.

a = 5.9307 Å, b = 5.9307 Å, c = 7.6818 Å
α = 112.71°, β = 112.71°, γ = 90.00°
With the nearest neighbours (Å) after each atom.
Fractional positions:
La1 0.5000 0.0000 0.0000  2 Sm 2.97, 2 La 3.22, 4 Al 3.30
La2 0.2500 0.7500 0.5000  2 La 3.22, 4 Al 3.46
Al1 0.6120 0.6120 0.2239  1 Al 2.88
Sm1 0.0000 0.0000 0.0000  4 La 2.97
La3 0.0000 0.5000 0.0000  2 Sm 2.97, 2 La 3.22, 4 Al 3.30
Al2 0.3880 0.3880 0.7761  1 Al 2.88
La4 0.7500 0.2500 0.5000  2 La 3.22, 4 Al 3.46